(1)
{"formula": "Rb2YGeBr6", "functional": "PBE", "state": "optimized geometry", "magnetic_moment_mub_per_cell": 1.00, "formation_energy_uncorrected_ev_per_atom": -1.35, "cell": [[-4.168, 4.168, 5.585], [4.168, -4.168, 5.585], [4.168, 4.168, -5.585]], "species": ["Rb", "Rb", "Y", "Ge", "Br", "Br", "Br", "Br", "Br", "Br"], "frac_coords": [[0.250, 0.750, 0.500], [0.750, 0.250, 0.500], [0.000, 0.000, 0.000], [0.500, 0.500, 0.000], [0.238, 0.238, 0.476], [0.238, 0.762, 0.000], [0.251, 0.251, 0.000], [0.749, 0.749, 0.000], [0.762, 0.238, 0.000], [0.762, 0.762, 0.524]]}

=====

(2)
{"formula": "Na4Er3ScO8", "functional": "PBE", "state": "optimized geometry", "magnetic_moment_mub_per_cell": 0.00, "formation_energy_uncorrected_ev_per_atom": -2.83, "cell": [[3.339, 1.928, 5.549], [-3.339, 1.928, 5.549], [0.000, -3.856, 5.549]], "species": ["Na", "Na", "Na", "Na", "Er", "Er", "Er", "Sc", "O", "O", "O", "O", "O", "O", "O", "O"], "frac_coords": [[0.000, 0.000, 0.000], [0.000, 0.500, 0.500], [0.500, 0.000, 0.500], [0.500, 0.500, 0.000], [0.000, 0.000, 0.500], [0.000, 0.500, 0.000], [0.500, 0.000, 0.000], [0.500, 0.500, 0.500], [0.237, 0.237, 0.237], [0.246, 0.731, 0.731], [0.269, 0.269, 0.754], [0.269, 0.754, 0.269], [0.731, 0.246, 0.731], [0.731, 0.731, 0.246], [0.754, 0.269, 0.269], [0.763, 0.763, 0.763]]}

=====

(3)
{"formula": "Tl5Si", "functional": "PBE", "state": "optimized geometry", "de_polymorph_mev_per_atom": 288, "magnetic_moment_mub_per_cell": 0.00, "formation_energy_uncorrected_ev_per_atom": 0.49, "cell": [[6.234, 0.000, 0.000], [-3.117, 5.399, 0.000], [0.000, 0.000, 5.840]], "species": ["Tl", "Tl", "Tl", "Tl", "Tl", "Si"], "frac_coords": [[0.000, 0.500, 0.000], [0.333, 0.667, 0.500], [0.500, 0.000, 0.000], [0.500, 0.500, 0.000], [0.667, 0.333, 0.500], [0.000, 0.000, 0.500]]}

=====

(4)
{"formula": "NaPa2MoN4", "functional": "PBE", "state": "optimized geometry", "magnetic_moment_mub_per_cell": 0.00, "formation_energy_uncorrected_ev_per_atom": -0.72, "cell": [[-2.938, 2.938, 3.807], [2.938, -2.938, 3.807], [2.938, 2.938, -3.807]], "species": ["Na", "Pa", "Pa", "Mo", "N", "N", "N", "N"], "frac_coords": [[0.000, 0.000, 0.000], [0.250, 0.750, 0.500], [0.750, 0.250, 0.500], [0.500, 0.500, 0.000], [0.143, 0.143, 0.653], [0.490, 0.490, 0.347], [0.510, 0.857, 0.000], [0.857, 0.510, 0.000]]}

=====

(5)
{"formula": "Hf2TeMo", "functional": "PBE", "state": "optimized geometry", "magnetic_moment_mub_per_cell": 0.00, "formation_energy_uncorrected_ev_per_atom": 0.51, "cell": [[1.559, 0.900, 10.231], [-1.559, 0.900, 10.231], [0.000, -1.801, 10.231]], "species": ["Hf", "Hf", "Te", "Mo"], "frac_coords": [[0.086, 0.086, 0.086], [0.914, 0.914, 0.914], [0.500, 0.500, 0.500], [0.000, 0.000, 0.000]]}

=====

(6)
{"formula": "HoPaP", "functional": "PBE", "state": "optimized geometry", "de_polymorph_mev_per_atom": 85, "magnetic_moment_mub_per_cell": 0.00, "ef_ev_per_atom": -0.5531, "cell": [[-1.730, 1.730, 5.899], [1.730, -1.730, 5.899], [1.730, 1.730, -5.899]], "species": ["Ho", "Pa", "P"], "frac_coords": [[0.000, 0.000, 0.000], [0.271, 0.271, 0.000], [0.642, 0.642, 0.000]]}